# Sm2YHgC (PBE, optimized geometry)
data_Sm2YHgC
_chemical_formula_sum 'Sm2 Y1 Hg1 C1'
_symmetry_space_group_name_H-M 'P 4/m m m'
_symmetry_Int_Tables_number 123
_symmetry_space_group_name_Hall '-P 4 2'
_cell_length_a 5.0647
_cell_length_b 5.0647
_cell_length_c 4.8593
_cell_angle_alpha 90.00
_cell_angle_beta 90.00
_cell_angle_gamma 90.00
loop_
_atom_site_label
_atom_site_fract_x
_atom_site_fract_y
_atom_site_fract_z
Sm1 0.0000 0.5000 0.0000
Y1 0.0000 0.0000 0.5000
Hg1 0.5000 0.5000 0.5000
C1 0.0000 0.0000 0.0000
# DFT formation energy	-305	meV/atom

# SrZn4Pt2 (PBE, optimized geometry)
data_SrZn4Pt2
_chemical_formula_sum 'Sr2 Zn8 Pt4'
_symmetry_space_group_name_H-M 'P 42/m n m'
_symmetry_Int_Tables_number 136
_symmetry_space_group_name_Hall '-P 4n 2n'
_cell_length_a 7.8195
_cell_length_b 7.8195
_cell_length_c 4.2091
_cell_angle_alpha 90.00
_cell_angle_beta 90.00
_cell_angle_gamma 90.00
loop_
_atom_site_label
_atom_site_fract_x
_atom_site_fract_y
_atom_site_fract_z
Sr1 0.0000 0.0000 0.0000
Zn1 0.0904 0.3473 0.5000
Pt1 0.2220 0.7780 0.5000
# DFT formation energy	-577	meV/atom
# E above lowest polymorph	0.000	kcal/mol of atoms

# Ta4AgS8 (PBE, optimized geometry)
data_Ta4AgS8
_chemical_formula_sum 'Ta8 Ag2 S16'
_symmetry_space_group_name_H-M 'P -1'
_symmetry_Int_Tables_number 2
_symmetry_space_group_name_Hall '-P 1'
_cell_length_a 5.8166
_cell_length_b 6.7246
_cell_length_c 13.9581
_cell_angle_alpha 96.96
_cell_angle_beta 94.20
_cell_angle_gamma 90.00
loop_
_atom_site_label
_atom_site_fract_x
_atom_site_fract_y
_atom_site_fract_z
Ta1 0.2030 0.0629 0.2635
Ta2 0.2029 0.5696 0.2635
Ta3 0.2831 0.6836 0.7360
Ta4 0.2847 0.1842 0.7382
Ag1 0.3384 0.2441 0.9769
S1 0.1061 0.4042 0.6243
S2 0.1060 0.9068 0.6243
S3 0.1417 0.4688 0.8520
S4 0.1417 0.9567 0.8520
S5 0.3510 0.7877 0.1501
S6 0.3587 0.2883 0.1525
S7 0.3955 0.3436 0.3720
S8 0.4002 0.8439 0.3735
# uncorrected formation energy	-0.978	eV/atom
# E above lowest polymorph	0.000	kcal/mol of atoms

# DyLuScOs (PBE, optimized geometry)
data_DyLuScOs
_chemical_formula_sum 'Dy4 Lu4 Sc4 Os4'
_symmetry_space_group_name_H-M 'F -4 3 m'
_symmetry_Int_Tables_number 216
_symmetry_space_group_name_Hall 'F -4 2 3'
_cell_length_a 7.0392
_cell_length_b 7.0392
_cell_length_c 7.0392
_cell_angle_alpha 90.00
_cell_angle_beta 90.00
_cell_angle_gamma 90.00
loop_
_atom_site_label
_atom_site_fract_x
_atom_site_fract_y
_atom_site_fract_z
Dy1 0.0000 0.0000 0.0000
Lu1 0.0000 0.0000 0.5000
Sc1 0.2500 0.2500 0.2500
Os1 0.2500 0.2500 0.7500
# DFT formation energy	-40	meV/atom

# NbCdOF2 (PBE, optimized geometry)
data_NbCdOF2
_chemical_formula_sum 'Nb1 Cd1 O1 F2'
_symmetry_space_group_name_H-M 'P 4/m m m'
_symmetry_Int_Tables_number 123
_symmetry_space_group_name_Hall '-P 4 2'
_cell_length_a 4.4190
_cell_length_b 4.4190
_cell_length_c 3.9594
_cell_angle_alpha 90.00
_cell_angle_beta 90.00
_cell_angle_gamma 90.00
loop_
_atom_site_label
_atom_site_fract_x
_atom_site_fract_y
_atom_site_fract_z
Nb1 0.0000 0.0000 0.0000
Cd1 0.5000 0.5000 0.5000
O1 0.0000 0.0000 0.5000
F1 0.0000 0.5000 0.0000
# uncorrected formation energy	-1.789	eV/atom
# E above lowest polymorph	0.000	kcal/mol of atoms

# TcMoPb4 (PBE, optimized geometry)
data_TcMoPb4
_chemical_formula_sum 'Tc4 Mo4 Pb16'
_symmetry_space_group_name_H-M 'F -4 3 m'
_symmetry_Int_Tables_number 216
_symmetry_space_group_name_Hall 'F -4 2 3'
_cell_length_a 8.8230
_cell_length_b 8.8230
_cell_length_c 8.8230
_cell_angle_alpha 90.00
_cell_angle_beta 90.00
_cell_angle_gamma 90.00
loop_
_atom_site_label
_atom_site_fract_x
_atom_site_fract_y
_atom_site_fract_z
Tc1 0.0000 0.0000 0.0000
Mo1 0.2500 0.2500 0.7500
Pb1 0.1249 0.1249 0.3751
# DFT formation energy	1396	meV/atom

# TaReTe (PBE, optimized geometry)
data_TaReTe
_chemical_formula_sum 'Ta4 Re4 Te4'
_symmetry_space_group_name_H-M 'A m m 2'
_symmetry_Int_Tables_number 38
_symmetry_space_group_name_Hall 'A 2 -2'
_cell_length_a 13.8642
_cell_length_b 3.2408
_cell_length_c 5.2384
_cell_angle_alpha 90.00
_cell_angle_beta 90.00
_cell_angle_gamma 90.00
loop_
_atom_site_label
_atom_site_fract_x
_atom_site_fract_y
_atom_site_fract_z
Ta1 0.0000 0.0000 0.0000
Ta2 0.5000 0.0000 0.1439
Re1 0.1532 0.0000 0.4968
Te1 0.2995 0.0000 0.1632
# uncorrected formation energy	0.510	eV/atom
# E above lowest polymorph	7.844	kcal/mol of atoms

# SrSOF2 (PBE, optimized geometry)
data_SrSOF2
_chemical_formula_sum 'Sr1 S1 O1 F2'
_symmetry_space_group_name_H-M 'P 4/m m m'
_symmetry_Int_Tables_number 123
_symmetry_space_group_name_Hall '-P 4 2'
_cell_length_a 4.6531
_cell_length_b 4.6531
_cell_length_c 3.6576
_cell_angle_alpha 90.00
_cell_angle_beta 90.00
_cell_angle_gamma 90.00
loop_
_atom_site_label
_atom_site_fract_x
_atom_site_fract_y
_atom_site_fract_z
Sr1 0.0000 0.0000 0.0000
S1 0.5000 0.5000 0.5000
O1 0.5000 0.5000 0.0000
F1 0.0000 0.5000 0.5000
# uncorrected formation energy	-1.598	eV/atom
# E above lowest polymorph	0.000	kcal/mol of atoms

Number 1: Fermi-level density of states 6.1 states/eV/cell, total magnetic moment 0.0 μB per formula unit. Number 2: Fermi-level density of states 5.6 states/eV/cell, total magnetic moment 0.0 μB per formula unit. Number 3: Fermi-level density of states 12.1 states/eV/cell, total magnetic moment 0.0 μB per formula unit. Number 4: Fermi-level density of states 13.8 states/eV/cell, total magnetic moment 0.0 μB per formula unit. Number 5: Fermi-level density of states 2.6 states/eV/cell, total magnetic moment 1.2 μB per formula unit. Number 6: Fermi-level density of states 24.7 states/eV/cell, total magnetic moment 7.2 μB per formula unit. Number 7: Fermi-level density of states 6.6 states/eV/cell, total magnetic moment 0.0 μB per formula unit. Number 8: Fermi-level density of states 2.6 states/eV/cell, total magnetic moment 0.0 μB per formula unit.